Record 1
This record from Alexandria via LeMat-Bulk describes a relaxed structure of Be2AlSi. The functional is PBE.

abc: 3.366 5.699 6.076
angles: 76.86 74.16 72.83
Space group P1 (No. 1)
One atom of each set of equivalent atoms:
Be 0.000 0.000 0.000 x1
Be 0.153 0.589 0.105 x1
Be 0.311 0.188 0.192 x1
Be 0.502 0.797 0.202 x1
Al 0.208 0.005 0.572 x1
Al 0.437 0.345 0.787 x1
Si 0.633 0.387 0.350 x1
Si 0.721 0.725 0.828 x1

Properties
The uncorrected energy is -15.8 eV/f.u. The value obtained for the density of states at the Fermi level is 1.56 states/eV/cell. For the uncorrected formation energy, the calculation gives 0.8 eV/f.u.


Record 2
This record from Alexandria via LeMat-Bulk describes a relaxed structure of Be2AlSi. The functional is PBE.

abc: 10.715 3.380 7.308
angles: 90.00 126.57 90.00
Space group Cm (No. 8)
One atom of each set of equivalent atoms:
Be 0.000 0.000 0.000 x2
Be 0.001 0.500 0.811 x2
Be 0.148 0.000 0.891 x2
Be 0.291 0.000 0.778 x2
Al 0.321 0.500 0.569 x2
Al 0.434 0.000 0.189 x2
Si 0.102 0.500 0.615 x2
Si 0.213 0.500 0.167 x2

Properties
The uncorrected energy is -15.8 eV/f.u. The value obtained for the density of states at the Fermi level is 3.16 states/eV/cell. For the uncorrected formation energy, the calculation gives 0.8 eV/f.u.


Record 3
This record from Alexandria via LeMat-Bulk describes a relaxed structure of BeAl2Si. The functional is PBE.

abc: 2.652 3.761 5.537
angles: 90.00 90.63 90.00
Space group P2/m (No. 10)
One atom of each set of equivalent atoms:
Be 0.000 0.000 0.000 x1
Al 0.499 0.500 0.762 x2
Si 0.000 0.000 0.500 x1

Properties
The uncorrected energy is -15.8 eV/f.u. The value obtained for the density of states at the Fermi level is 0.90 states/eV/cell. For the uncorrected formation energy, the calculation gives 0.9 eV/f.u.